(1)
Here is a relaxed Pm2NdSi2 crystal from Alexandria via LeMat-Bulk. Energies are from GGA-PBE.

Cell lengths 7.7605, 7.7605, 4.2976 Å; angles 90.00, 90.00, 90.00 degrees
Closest atoms and distances in Å follow each position.
Atoms (fractional coordinates):
Pm  0.1765  0.3235  0.0000  6 Si 3.14-3.17
Pm  0.3235  0.8235  0.0000  6 Si 3.14-3.17
Pm  0.6765  0.1765  0.0000  6 Si 3.14-3.17
Pm  0.8235  0.6765  0.0000  6 Si 3.14-3.17
Nd  0.0000  0.0000  0.5000  4 Si 3.14
Nd  0.5000  0.5000  0.5000  4 Si 3.14
Si  0.1115  0.6115  0.5000  1 Si 2.45
Si  0.3885  0.1115  0.5000  1 Si 2.45
Si  0.6115  0.8885  0.5000  1 Si 2.45
Si  0.8885  0.3885  0.5000  1 Si 2.45

Output
Its polymorph energy (0 for the lowest one) is 0.0 meV/atom. Its calculated density is 6.29 g/cm3. As for the symmetry: P4/mbm.


(2)
Here is a relaxed MgAl2Pt2 crystal from Alexandria via LeMat-Bulk. Energies are from GGA-PBE.

Cell lengths 7.5194, 7.5194, 2.8120 Å; angles 90.00, 90.00, 90.00 degrees
Closest atoms and distances in Å follow each position.
Atoms (fractional coordinates):
Mg  0.0000  0.0000  0.0000  2 Mg 2.81, 4 Al 2.96, 8 Pt 3.13
Mg  0.5000  0.5000  0.0000  2 Mg 2.81, 4 Al 2.96, 8 Pt 3.13
Al  0.1285  0.3715  0.0000  6 Pt 2.57-2.66, 3 Al 2.73-2.81
Al  0.3715  0.8715  0.0000  6 Pt 2.57-2.66, 3 Al 2.73-2.81
Al  0.6285  0.1285  0.0000  6 Pt 2.57-2.66, 3 Al 2.73-2.81
Al  0.8715  0.6285  0.0000  6 Pt 2.57-2.66, 3 Al 2.73-2.81
Pt  0.1687  0.6687  0.5000  6 Al 2.57-2.66, 2 Pt 2.81
Pt  0.3313  0.1687  0.5000  6 Al 2.57-2.66, 2 Pt 2.81
Pt  0.6687  0.8313  0.5000  6 Al 2.57-2.66, 2 Pt 2.81
Pt  0.8313  0.3313  0.5000  6 Al 2.57-2.66, 2 Pt 2.81

Output
Its polymorph energy (0 for the lowest one) is 18.3 meV/atom. Its calculated density is 9.78 g/cm3. The formation energy comes out at -84 kJ per mole of atoms. As for the symmetry: P4/mbm.


(3)
Here is a relaxed TiNb2Co crystal from Alexandria via LeMat-Bulk. Energies are from GGA-PBE.

Cell lengths 3.0272, 8.6688, 5.0971 Å; angles 90.00, 102.79, 90.00 degrees
Closest atoms and distances in Å follow each position.
Atoms (fractional coordinates):
Ti  0.0803  0.2500  0.1615  2 Co 2.39-2.52
Ti  0.9197  0.7500  0.8385  2 Co 2.39-2.52
Nb  0.3246  0.0461  0.7397  2 Co 2.50-2.52, 1 Nb 2.75
Nb  0.3246  0.4539  0.7397  2 Co 2.50-2.52, 1 Nb 2.75
Nb  0.6754  0.5461  0.2603  2 Co 2.50-2.52, 1 Nb 2.75
Nb  0.6754  0.9539  0.2603  2 Co 2.50-2.52, 1 Nb 2.75
Co  0.2408  0.7500  0.4500  2 Ti 2.39-2.52, 4 Nb 2.50-2.52
Co  0.7592  0.2500  0.5500  2 Ti 2.39-2.52, 4 Nb 2.50-2.52

Output
Its polymorph energy (0 for the lowest one) is 0.0 meV/atom. Its calculated density is 7.45 g/cm3. The formation energy comes out at -8 kJ per mole of atoms. As for the symmetry: P2_1/m.


(4)
Here is a relaxed Na3Er3MnSe8 crystal from Alexandria via LeMat-Bulk. Energies are from GGA-PBE.

Cell lengths 8.4720, 8.4720, 8.4720 Å; angles 56.54, 56.54, 56.54 degrees
Closest atoms and distances in Å follow each position.
Atoms (fractional coordinates):
Na  0.0000  0.5000  0.5000  6 Se 3.01-3.02
Na  0.5000  0.0000  0.5000  6 Se 3.01-3.02
Na  0.5000  0.5000  0.0000  6 Se 3.01-3.02
Er  0.0000  0.0000  0.5000  6 Se 2.83-2.85
Er  0.0000  0.5000  0.0000  6 Se 2.83-2.85
Er  0.5000  0.0000  0.0000  6 Se 2.83-2.85
Mn  0.5000  0.5000  0.5000  6 Se 2.58
Se  0.2429  0.2429  0.2429  3 Er 2.83, 3 Na 3.01
Se  0.2672  0.7217  0.7217  1 Mn 2.58, 2 Er 2.85
Se  0.2783  0.2783  0.7328  1 Mn 2.58, 2 Er 2.85
Se  0.2783  0.7328  0.2783  1 Mn 2.58, 2 Er 2.85
Se  0.7217  0.2672  0.7217  1 Mn 2.58, 2 Er 2.85
Se  0.7217  0.7217  0.2672  1 Mn 2.58, 2 Er 2.85
Se  0.7328  0.2783  0.2783  1 Mn 2.58, 2 Er 2.85
Se  0.7571  0.7571  0.7571  3 Er 2.83, 3 Na 3.01

Output
Its calculated density is 5.28 g/cm3. The total DFT energy (no corrections) comes out at -0.185 Ha/atom. As for the symmetry: R-3m.


(5)
Here is a relaxed ZrTlCr2Fe crystal from Alexandria via LeMat-Bulk. Energies are from GGA-PBE.

Cell lengths 4.7456, 4.7456, 4.6320 Å; angles 90.00, 90.00, 90.00 degrees
Closest atoms and distances in Å follow each position.
Atoms (fractional coordinates):
Zr  0.0000  0.0000  0.0000  8 Cr 3.32, 4 Fe 3.36
Tl  0.5000  0.5000  0.5000  2 Fe 2.32, 4 Cr 2.37
Cr  0.0000  0.5000  0.5000  2 Tl 2.37
Cr  0.5000  0.0000  0.5000  2 Tl 2.37
Fe  0.5000  0.5000  0.0000  2 Tl 2.32

Output
Its polymorph energy (0 for the lowest one) is 1232.5 meV/atom. Its calculated density is 7.25 g/cm3. The formation energy comes out at 205 kJ per mole of atoms. As for the symmetry: P4/mmm.


(6)
Here is a relaxed Li2TeAs crystal from Alexandria via LeMat-Bulk. Energies are from GGA-PBE.

Cell lengths 4.9375, 4.9375, 4.9375 Å; angles 60.00, 60.00, 60.00 degrees
Closest atoms and distances in Å follow each position.
Atoms (fractional coordinates):
Li  0.0000  0.0000  0.0000  4 Li 3.02, 4 Te 3.02
Li  0.2500  0.2500  0.2500  4 As 3.02, 4 Li 3.02
Te  0.7500  0.7500  0.7500  4 As 3.02, 4 Li 3.02
As  0.5000  0.5000  0.5000  4 Li 3.02, 4 Te 3.02

Output
Its polymorph energy (0 for the lowest one) is 318.4 meV/atom. Its calculated density is 4.22 g/cm3. As for the symmetry: F-43m.


(7)
Here is a relaxed HfOsN2F crystal from Alexandria via LeMat-Bulk. Energies are from GGA-PBE.

Cell lengths 4.2421, 4.2421, 3.9025 Å; angles 90.00, 90.00, 90.00 degrees
Closest atoms and distances in Å follow each position.
Atoms (fractional coordinates):
Hf  0.0000  0.0000  0.0000  2 F 1.95, 4 N 2.12
Os  0.5000  0.5000  0.5000  8 N 2.88, 4 F 3.00
N  0.0000  0.5000  0.0000  2 Hf 2.12
N  0.5000  0.0000  0.0000  2 Hf 2.12
F  0.0000  0.0000  0.5000  2 Hf 1.95

Output
Its polymorph energy (0 for the lowest one) is 132.6 meV/atom. Its calculated density is 9.83 g/cm3. As for the symmetry: P4/mmm.


(8)
Here is a relaxed KMg2Si crystal from Alexandria via LeMat-Bulk. Energies are from GGA-PBE.

Cell lengths 3.7709, 5.0998, 5.2922 Å; angles 90.00, 90.00, 90.00 degrees
Closest atoms and distances in Å follow each position.
Atoms (fractional coordinates):
K  0.0000  0.0000  0.0000  4 Mg 3.17, 4 Si 3.25
Mg  0.0000  0.5000  0.5000  4 Si 3.17, 4 Mg 3.25
Mg  0.5000  0.5000  0.0000  4 K 3.17, 4 Mg 3.25
Si  0.5000  0.0000  0.5000  4 Mg 3.17, 4 K 3.25

Output
Its calculated density is 1.89 g/cm3. The total DFT energy (no corrections) comes out at -0.074 Ha/atom. As for the symmetry: Pmmm.


(9)
Here is a relaxed CeSmTm4 crystal from Alexandria via LeMat-Bulk. Energies are from GGA-PBE.

Cell lengths 5.9171, 5.9171, 11.3638 Å; angles 117.51, 117.51, 32.65 degrees
Closest atoms and distances in Å follow each position.
Atoms (fractional coordinates):
Ce  0.0000  0.0000  0.0000  2 Ce 3.33, 8 Tm 3.40-3.47
Sm  0.5000  0.5000  0.5000  2 Sm 3.33, 8 Tm 3.42-3.50
Tm  0.1562  0.1562  0.3409  7 Tm 3.33-3.65, 1 Ce 3.40, 3 Sm 3.42-3.50
Tm  0.3429  0.3429  0.1542  7 Tm 3.33-3.65, 3 Ce 3.42-3.47, 1 Sm 3.45
Tm  0.6571  0.6571  0.8458  7 Tm 3.33-3.65, 3 Ce 3.42-3.47, 1 Sm 3.45
Tm  0.8438  0.8438  0.6591  7 Tm 3.33-3.65, 1 Ce 3.40, 3 Sm 3.42-3.50

Output
Its polymorph energy (0 for the lowest one) is 0.0 meV/atom. Its calculated density is 8.53 g/cm3. The formation energy comes out at 21 kJ per mole of atoms. As for the symmetry: C2/m.


(10)
Here is a relaxed RbSnHgSb crystal from Alexandria via LeMat-Bulk. Energies are from GGA-PBE.

Cell lengths 7.1762, 7.1762, 7.1762 Å; angles 144.39, 133.57, 59.85 degrees
Closest atoms and distances in Å follow each position.
Atoms (fractional coordinates):
Rb  0.0000  0.0000  0.0000  4 Sb 3.76, 4 Sn 3.89-4.13, 5 Hg 4.10-4.16
Sn  0.7415  0.2415  0.5000  2 Sb 2.87, 2 Hg 3.04
Hg  0.3300  0.3300  0.0000  2 Sn 3.04, 1 Sb 3.27
Sb  0.5929  0.5929  0.0000  2 Sn 2.87

Output
Its calculated density is 5.66 g/cm3. The total DFT energy (no corrections) comes out at -0.094 Ha/atom. As for the symmetry: Imm2.


(11)
Here is a relaxed Ir3Ru4W2 crystal from Alexandria via LeMat-Bulk. Energies are from GGA-PBE.

Cell lengths 7.6429, 7.6429, 4.7607 Å; angles 98.70, 98.70, 83.18 degrees
Closest atoms and distances in Å follow each position.
Atoms (fractional coordinates):
Ir  0.0533  0.9467  0.7500  2 W 2.60, 4 Ir 2.61-2.85, 2 Ru 2.68
Ir  0.2079  0.6300  0.9733  5 Ru 2.61-2.90, 2 W 2.65-2.91, 2 Ir 2.85-2.90
Ir  0.3700  0.7921  0.5267  5 Ru 2.61-2.90, 2 W 2.65-2.91, 2 Ir 2.85-2.90
Ir  0.6300  0.2079  0.4733  5 Ru 2.61-2.90, 2 W 2.65-2.91, 2 Ir 2.85-2.90
Ir  0.7921  0.3700  0.0267  5 Ru 2.61-2.90, 2 W 2.65-2.91, 2 Ir 2.85-2.90
Ir  0.9467  0.0533  0.2500  2 W 2.60, 4 Ir 2.61-2.85, 2 Ru 2.68
Ru  0.1403  0.2880  0.1041  4 Ru 2.54-2.81, 3 W 2.60-2.76, 2 Ir 2.64-2.68
Ru  0.2880  0.1403  0.6041  4 Ru 2.54-2.81, 3 W 2.60-2.76, 2 Ir 2.64-2.68
Ru  0.3445  0.4522  0.5016  5 Ru 2.54-2.62, 3 Ir 2.61-2.73, 1 W 2.79
Ru  0.4522  0.3445  0.0016  5 Ru 2.54-2.62, 3 Ir 2.61-2.73, 1 W 2.79
Ru  0.5478  0.6555  0.9984  5 Ru 2.54-2.62, 3 Ir 2.61-2.73, 1 W 2.79
Ru  0.6555  0.5478  0.4984  5 Ru 2.54-2.62, 3 Ir 2.61-2.73, 1 W 2.79
Ru  0.7120  0.8597  0.3959  4 Ru 2.54-2.81, 3 W 2.60-2.76, 2 Ir 2.64-2.68
Ru  0.8597  0.7120  0.8959  4 Ru 2.54-2.81, 3 W 2.60-2.76, 2 Ir 2.64-2.68
W  0.0177  0.6531  0.4010  3 Ir 2.60-2.91, 4 Ru 2.60-2.79, 1 W 2.71
W  0.3469  0.9823  0.0990  3 Ir 2.60-2.91, 4 Ru 2.60-2.79, 1 W 2.71
W  0.6531  0.0177  0.9010  3 Ir 2.60-2.91, 4 Ru 2.60-2.79, 1 W 2.71
W  0.9823  0.3469  0.5990  3 Ir 2.60-2.91, 4 Ru 2.60-2.79, 1 W 2.71

Output
Its calculated density is 16.56 g/cm3. The formation energy comes out at 8 kJ per mole of atoms. As for the symmetry: C2/c.


(12)
Here is a relaxed MgSbIr2 crystal from Alexandria via LeMat-Bulk. Energies are from GGA-PBE.

Cell lengths 3.0636, 3.5997, 6.0116 Å; angles 90.00, 90.00, 90.00 degrees
Closest atoms and distances in Å follow each position.
Atoms (fractional coordinates):
Mg  0.0000  0.0000  0.0000  8 Ir 2.79, 2 Sb 3.01, 2 Mg 3.06
Sb  0.0000  0.0000  0.5000  8 Ir 2.81, 2 Mg 3.01, 2 Sb 3.06
Ir  0.5000  0.5000  0.2471  4 Mg 2.79, 4 Sb 2.81, 4 Ir 2.97-3.06
Ir  0.5000  0.5000  0.7529  4 Mg 2.79, 4 Sb 2.81, 4 Ir 2.97-3.06

Output
Its calculated density is 13.29 g/cm3. The total DFT energy (no corrections) comes out at -0.221 Ha/atom. As for the symmetry: Pmmm.


(13)
Here is a relaxed GdDyTlIn crystal from Alexandria via LeMat-Bulk. Energies are from GGA-PBE.

Cell lengths 5.3682, 5.3682, 5.3682 Å; angles 60.00, 60.00, 60.00 degrees
Closest atoms and distances in Å follow each position.
Atoms (fractional coordinates):
Gd  0.0000  0.0000  0.0000  4 Tl 3.29, 4 In 3.29
Dy  0.5000  0.5000  0.5000  4 Tl 3.29, 4 In 3.29
Tl  0.7500  0.7500  0.7500  4 Gd 3.29, 4 Dy 3.29
In  0.2500  0.2500  0.2500  4 Dy 3.29, 4 Gd 3.29

Output
Its calculated density is 9.70 g/cm3. The formation energy comes out at -40 kJ per mole of atoms. As for the symmetry: F-43m.


(14)
Here is a relaxed Hf2Al4Cu crystal from Alexandria via LeMat-Bulk. Energies are from GGA-PBE.

Cell lengths 7.7371, 7.7371, 7.7371 Å; angles 147.00, 147.00, 47.36 degrees
Closest atoms and distances in Å follow each position.
Atoms (fractional coordinates):
Hf  0.1378  0.1378  0.0000  5 Al 2.75-2.94
Hf  0.8622  0.8622  0.0000  5 Al 2.75-2.94
Al  0.0000  0.5000  0.5000  2 Cu 2.20
Al  0.3317  0.3317  0.0000  1 Cu 2.38
Al  0.5000  0.0000  0.5000  2 Cu 2.20
Al  0.6683  0.6683  0.0000  1 Cu 2.38
Cu  0.5000  0.5000  0.0000  6 Al 2.20-2.38

Output
Its calculated density is 6.41 g/cm3. The formation energy comes out at 27 kJ per mole of atoms. As for the symmetry: I4/mmm.


(15)
Here is a relaxed Be2Te crystal from Alexandria via LeMat-Bulk. Energies are from GGA-PBE.

Cell lengths 7.6207, 7.6207, 7.6207 Å; angles 152.93, 152.93, 38.65 degrees
Closest atoms and distances in Å follow each position.
Atoms (fractional coordinates):
Be  0.2991  0.5491  0.7500  3 Be 2.18-2.27
Be  0.4509  0.7009  0.7500  3 Be 2.18-2.27
Be  0.5491  0.2991  0.2500  3 Be 2.18-2.27
Be  0.7009  0.4509  0.2500  3 Be 2.18-2.27
Te  0.1250  0.8750  0.2500  12 Be 2.75-3.07
Te  0.8750  0.1250  0.7500  12 Be 2.75-3.07

Output
Its polymorph energy (0 for the lowest one) is 554.4 meV/atom. Its calculated density is 5.29 g/cm3. As for the symmetry: I4_1/amd.